Entry from Alexandria: an optimized crystal structure of AlSiTe2 (PBE).

Results
magnetization	0.000	μB/atom
SG	No. 10
formation energy without anion corrections	13	meV/atom

a = 4.080 Å, b = 4.181 Å, c = 5.804 Å
α = 90.00°, β = 90.31°, γ = 90.00°
Element x y z (fractional)
Al: 0.000 0.000 0.000
Si: 0.500 0.500 0.500
Te: 0.000 0.000 0.500
Te: 0.500 0.500 0.000

Entry from Alexandria: an optimized crystal structure of NbSn2OsPd (PBE).

Results
magnetization	0.000	μB/atom
SG	No. 123
energy of formation	1.20	eV per atom

a = 5.010 Å, b = 5.010 Å, c = 4.832 Å
α = 90.00°, β = 90.00°, γ = 90.00°
Element x y z (fractional)
Nb: 0.000 0.000 0.000
Sn: 0.000 0.500 0.500
Sn: 0.500 0.000 0.500
Os: 0.500 0.500 0.500
Pd: 0.500 0.500 0.000

Entry from Alexandria: an optimized crystal structure of LaVN3 (PBE).

Results
magnetization	0.182	μB/atom
SG	No. 167
formation energy without anion corrections	-394	meV/atom

a = 6.569 Å, b = 6.569 Å, c = 6.569 Å
α = 53.45°, β = 53.45°, γ = 53.45°
Element x y z (fractional)
La: 0.000 0.000 0.000
La: 0.500 0.500 0.500
V: 0.250 0.250 0.250
V: 0.750 0.750 0.750
N: 0.047 0.750 0.453
N: 0.250 0.547 0.953
N: 0.453 0.047 0.750
N: 0.547 0.953 0.250
N: 0.750 0.453 0.047
N: 0.953 0.250 0.547